The following is a PBE calculation of a relaxed structure of Zn2ReHg, from the Alexandria database.

It has space group R3m (No. 160, hexagonal axes), with a = 2.8750 Å, b = 2.8750 Å, c = 27.7140 Å, α = 90.00°, β = 90.00° and γ = 120.00°. The inequivalent atoms are Zn at (0.0000, 0.0000, 0.0000), Zn at (0.0000, 0.0000, 0.2562), Re at (0.0000, 0.0000, 0.5127) and Hg at (0.0000, 0.0000, 0.7556).

The value obtained for the volume is 66.1 Å³/f.u. For the formation enthalpy at 0 K, the calculation gives 0.43 eV per atom. As for the size of the total moment: 0.00 Bohr magnetons per cell. The final energy is -40.76 eV/cell.